No. 1
VASP calculation (GGA-PBEsol) on a relaxed structure of SrRu2Pb.

- Volume: 19.6 Å³/atom
- Total DFT energy (no corrections): -0.426 Ry/atom
- Crystal system: tetragonal

Cell: 4.201 4.201 5.338 Å, 113.17 113.17 90.00°
Element x y z (fractional)
Pb1 0.250 0.750 0.500
Ru1 0.000 0.000 0.000
Ru2 0.750 0.250 0.500
Sr1 0.500 0.500 0.000

=====

No. 2
VASP calculation (GGA-PBEsol) on a relaxed structure of Sr2RuPb.

- Volume: 27.0 Å³/atom
- Total DFT energy (no corrections): -0.312 Ry/atom
- Crystal system: tetragonal

Cell: 3.430 3.430 9.174 Å, 90.00 90.00 90.00°
Element x y z (fractional)
Pb1 0.500 0.500 0.000
Ru1 0.500 0.500 0.500
Sr1 0.000 0.000 0.707
Sr2 0.000 0.000 0.293

=====

No. 3
VASP calculation (GGA-PBEsol) on a relaxed structure of SrZnRuPb2.

- Volume: 30.3 Å³/atom
- Total DFT energy (no corrections): -0.300 Ry/atom
- Crystal system: tetragonal

Cell: 5.166 5.166 5.684 Å, 90.00 90.00 90.00°
Element x y z (fractional)
Pb1 0.000 0.500 0.000
Pb2 0.500 0.000 0.000
Ru1 0.000 0.000 0.000
Zn1 0.500 0.500 0.500
Sr1 0.000 0.000 0.500

=====

No. 4
VASP calculation (GGA-PBEsol) on a relaxed structure of Ta2RuPb.

- Volume: 18.1 Å³/atom
- Total DFT energy (no corrections): -0.710 Ry/atom
- Crystal system: tetragonal

Cell: 3.001 3.001 8.054 Å, 90.00 90.00 90.00°
Element x y z (fractional)
Pb1 0.500 0.500 0.000
Ru1 0.500 0.500 0.500
Ta1 0.000 0.000 0.709
Ta2 0.000 0.000 0.291

=====

No. 5
VASP calculation (GGA-PBEsol) on a relaxed structure of Ta2RuPb.

- Volume: 17.7 Å³/atom
- Total DFT energy (no corrections): -0.705 Ry/atom
- Crystal system: monoclinic

Cell: 2.979 4.110 5.776 Å, 90.00 93.03 90.00°
Element x y z (fractional)
Pb1 0.500 0.500 0.000
Ru1 0.500 0.500 0.500
Ta1 0.969 0.000 0.725
Ta2 0.031 0.000 0.275

=====

No. 6
VASP calculation (GGA-PBEsol) on a relaxed structure of TaRuPb3.

- Volume: 26.9 Å³/atom
- Total DFT energy (no corrections): -0.415 Ry/atom
- Crystal system: cubic

Cell: 5.125 5.125 5.125 Å, 90.00 90.00 90.00°
Element x y z (fractional)
Pb1 0.000 0.500 0.000
Pb2 0.000 0.000 0.500
Pb3 0.500 0.000 0.000
Ru1 0.000 0.000 0.000
Ta1 0.500 0.500 0.500